No. 1
The following is a PBE-GGA calculation of crystalline Er6Sb3TeAs2 at its relaxed geometry, from the Alexandria database.

Unit cell a=9.5137 b=9.5137 c=8.5450 alpha=102.92 beta=102.92 gamma=25.80
Closest atoms and distances in Å follow each position.
Sites, in units of the cell vectors:
Er: 0.0077 0.0077 0.2606  1 As 2.90, 3 Sb 2.98-3.07, 2 Te 3.06
Er: 0.3279 0.3279 0.9003  2 As 2.93, 3 Sb 3.00-3.09, 1 Te 3.11
Er: 0.3287 0.3287 0.4259  3 As 2.90-2.94, 3 Sb 3.09-3.10
Er: 0.6713 0.6713 0.5741  3 As 2.90-2.94, 3 Sb 3.09-3.10
Er: 0.6721 0.6721 0.0997  2 As 2.93, 3 Sb 3.00-3.09, 1 Te 3.11
Er: 0.9923 0.9923 0.7394  1 As 2.90, 3 Sb 2.98-3.07, 2 Te 3.06
Sb: 0.1621 0.1621 0.8325  6 Er 3.00-3.10
Sb: 0.5000 0.5000 0.5000  6 Er 2.98-3.09
Sb: 0.8379 0.8379 0.1675  6 Er 3.00-3.10
Te: 0.5000 0.5000 0.0000  6 Er 3.06-3.11
As: 0.1680 0.1680 0.3343  6 Er 2.90-2.94
As: 0.8320 0.8320 0.6657  6 Er 2.90-2.94

Properties
crystal system	monoclinic
magnetization	0.00	Bohr magnetons per cell
energy	-5.623	eV/atom
formation energy (no corrections)	-1274	meV per atom
SG	C2/m, No. 12

---

No. 2
The following is a PBE-GGA calculation of crystalline Er8Sb3Te4As at its relaxed geometry, from the Alexandria database.

Unit cell a=8.6385 b=8.6385 c=8.6385 alpha=59.77 beta=59.77 gamma=59.77
Closest atoms and distances in Å follow each position.
Sites, in units of the cell vectors:
Er: 0.2462 0.2462 0.2462  3 Sb 3.00, 3 Te 3.10
Er: 0.2570 0.7361 0.7361  1 As 2.88, 2 Sb 3.01, 3 Te 3.10-3.22
Er: 0.2639 0.2639 0.7430  1 As 2.88, 2 Sb 3.01, 3 Te 3.10-3.22
Er: 0.2639 0.7430 0.2639  1 As 2.88, 2 Sb 3.01, 3 Te 3.10-3.22
Er: 0.7361 0.2570 0.7361  1 As 2.88, 2 Sb 3.01, 3 Te 3.10-3.22
Er: 0.7361 0.7361 0.2570  1 As 2.88, 2 Sb 3.01, 3 Te 3.10-3.22
Er: 0.7430 0.2639 0.2639  1 As 2.88, 2 Sb 3.01, 3 Te 3.10-3.22
Er: 0.7538 0.7538 0.7538  3 Sb 3.00, 3 Te 3.10
Sb: 0.0000 0.0000 0.5000  6 Er 3.00-3.01
Sb: 0.0000 0.5000 0.0000  6 Er 3.00-3.01
Sb: 0.5000 0.0000 0.0000  6 Er 3.00-3.01
Te: 0.0000 0.0000 0.0000  6 Er 3.22
Te: 0.0000 0.5000 0.5000  6 Er 3.10
Te: 0.5000 0.0000 0.5000  6 Er 3.10
Te: 0.5000 0.5000 0.0000  6 Er 3.10
As: 0.5000 0.5000 0.5000  6 Er 2.88

Properties
crystal system	trigonal
magnetization	0.00	Bohr magnetons per cell
energy	-5.387	eV/atom
formation energy (no corrections)	-1257	meV per atom
SG	R-3m, No. 166

---

No. 3
The following is a PBE-GGA calculation of crystalline Er6SbTe3As2 at its relaxed geometry, from the Alexandria database.

Unit cell a=9.5612 b=9.5612 c=8.5673 alpha=103.88 beta=103.88 gamma=25.48
Closest atoms and distances in Å follow each position.
Sites, in units of the cell vectors:
Er: 0.0120 0.0120 0.2514  1 As 2.82, 2 Sb 2.98, 2 Te 3.04
Er: 0.3244 0.3244 0.4328  3 As 2.83-2.87, 2 Te 3.16
Er: 0.3317 0.3317 0.8874  2 As 2.85, 1 Sb 3.05, 3 Te 3.07-3.17
Er: 0.6683 0.6683 0.1126  2 As 2.85, 1 Sb 3.05, 3 Te 3.07-3.17
Er: 0.6756 0.6756 0.5672  3 As 2.83-2.87, 2 Te 3.16
Er: 0.9880 0.9880 0.7486  1 As 2.82, 2 Sb 2.98, 2 Te 3.04
Sb: 0.5000 0.5000 0.0000  6 Er 2.98-3.05
Te: 0.1629 0.1629 0.8335  6 Er 3.07-3.17
Te: 0.5000 0.5000 0.5000  6 Er 3.04-3.18
Te: 0.8371 0.8371 0.1665  6 Er 3.07-3.17
As: 0.1680 0.1680 0.3366  6 Er 2.82-2.87
As: 0.8320 0.8320 0.6634  6 Er 2.82-2.87

Properties
crystal system	monoclinic
magnetization	0.00	Bohr magnetons per cell
energy	-5.550	eV/atom
formation energy (no corrections)	-1365	meV per atom
SG	C2/m, No. 12

---

Please write out number 3 again, unchanged.
The following is a PBE-GGA calculation of crystalline Er6SbTe3As2 at its relaxed geometry, from the Alexandria database.

Unit cell a=9.5612 b=9.5612 c=8.5673 alpha=103.88 beta=103.88 gamma=25.48
Closest atoms and distances in Å follow each position.
Sites, in units of the cell vectors:
Er: 0.0120 0.0120 0.2514  1 As 2.82, 2 Sb 2.98, 2 Te 3.04
Er: 0.3244 0.3244 0.4328  3 As 2.83-2.87, 2 Te 3.16
Er: 0.3317 0.3317 0.8874  2 As 2.85, 1 Sb 3.05, 3 Te 3.07-3.17
Er: 0.6683 0.6683 0.1126  2 As 2.85, 1 Sb 3.05, 3 Te 3.07-3.17
Er: 0.6756 0.6756 0.5672  3 As 2.83-2.87, 2 Te 3.16
Er: 0.9880 0.9880 0.7486  1 As 2.82, 2 Sb 2.98, 2 Te 3.04
Sb: 0.5000 0.5000 0.0000  6 Er 2.98-3.05
Te: 0.1629 0.1629 0.8335  6 Er 3.07-3.17
Te: 0.5000 0.5000 0.5000  6 Er 3.04-3.18
Te: 0.8371 0.8371 0.1665  6 Er 3.07-3.17
As: 0.1680 0.1680 0.3366  6 Er 2.82-2.87
As: 0.8320 0.8320 0.6634  6 Er 2.82-2.87

Properties
crystal system	monoclinic
magnetization	0.00	Bohr magnetons per cell
energy	-5.550	eV/atom
formation energy (no corrections)	-1365	meV per atom
SG	C2/m, No. 12